Record 1
# NaScS2N PBE relaxed
# formation energy (no corrections)	-363	meV/atom
# ΔE to the lowest computed polymorph	0	meV/atom
# spin magnetization	0.49	μB/atom
# calculated total energy	-5.21	eV/atom
data_NaScS2N
_symmetry_space_group_name_H-M 'P 1'
_symmetry_Int_Tables_number 1
_cell_length_a 5.0147
_cell_length_b 5.0147
_cell_length_c 4.3155
_cell_angle_alpha 90.00
_cell_angle_beta 90.00
_cell_angle_gamma 90.00
loop_
_symmetry_equiv_pos_as_xyz
'x,y,z'
loop_
_atom_site_label
_atom_site_fract_x
_atom_site_fract_y
_atom_site_fract_z
Sc1 0.0000 0.0000 0.0000
Na1 0.5000 0.5000 0.5000
S1 0.0000 0.5000 0.0000
S2 0.5000 0.0000 0.0000
N1 0.0000 0.0000 0.5000

***

Record 2
# TiAs2Ir PBE relaxed
# formation energy	-221	meV per atom
# ΔE to the lowest computed polymorph	26	meV/atom
# spin magnetization	0.00	μB/atom
# calculated total energy	-6.73	eV/atom
data_TiAs2Ir
_symmetry_space_group_name_H-M 'P 1'
_symmetry_Int_Tables_number 1
_cell_length_a 4.1293
_cell_length_b 4.1293
_cell_length_c 8.8030
_cell_angle_alpha 76.44
_cell_angle_beta 76.44
_cell_angle_gamma 90.00
loop_
_symmetry_equiv_pos_as_xyz
'x,y,z'
loop_
_atom_site_label
_atom_site_fract_x
_atom_site_fract_y
_atom_site_fract_z
As1 0.6373 0.1250 0.2500
As2 0.1127 0.6250 0.2500
As3 0.3750 0.3627 0.7500
As4 0.8750 0.8873 0.7500
Ir1 0.0000 0.0000 0.0000
Ir2 0.7500 0.2500 0.5000
Ti1 0.5000 0.5000 0.0000
Ti2 0.2500 0.7500 0.5000

***

Record 3
# Nd12TlCd3 PBE relaxed
# formation energy	-137	meV per atom
# spin magnetization	0.00	μB/atom
# calculated total energy	-4.03	eV/atom
data_Nd12TlCd3
_symmetry_space_group_name_H-M 'P 1'
_symmetry_Int_Tables_number 1
_cell_length_a 4.9933
_cell_length_b 4.9933
_cell_length_c 19.8952
_cell_angle_alpha 90.00
_cell_angle_beta 90.00
_cell_angle_gamma 90.00
loop_
_symmetry_equiv_pos_as_xyz
'x,y,z'
loop_
_atom_site_label
_atom_site_fract_x
_atom_site_fract_y
_atom_site_fract_z
Nd1 0.5000 0.5000 0.0000
Nd2 0.5000 0.5000 0.2506
Nd3 0.5000 0.5000 0.5000
Nd4 0.5000 0.5000 0.7494
Nd5 0.5000 0.0000 0.1254
Nd6 0.5000 0.0000 0.3752
Nd7 0.5000 0.0000 0.6248
Nd8 0.5000 0.0000 0.8746
Nd9 0.0000 0.5000 0.1254
Nd10 0.0000 0.5000 0.3752
Nd11 0.0000 0.5000 0.6248
Nd12 0.0000 0.5000 0.8746
Tl1 0.0000 0.0000 0.0000
Cd1 0.0000 0.0000 0.2504
Cd2 0.0000 0.0000 0.5000
Cd3 0.0000 0.0000 0.7496

***

Record 4
# Pr6Os2SCl3 PBE relaxed
# formation energy (no corrections)	-1122	meV/atom
# spin magnetization	0.00	μB/atom
# calculated total energy	-6.19	eV/atom
data_Pr6Os2SCl3
_symmetry_space_group_name_H-M 'P 1'
_symmetry_Int_Tables_number 1
_cell_length_a 7.2302
_cell_length_b 7.2302
_cell_length_c 7.8353
_cell_angle_alpha 98.83
_cell_angle_beta 98.83
_cell_angle_gamma 120.00
loop_
_symmetry_equiv_pos_as_xyz
'x,y,z'
loop_
_atom_site_label
_atom_site_fract_x
_atom_site_fract_y
_atom_site_fract_z
Pr1 0.9310 0.5836 0.7918
Pr2 0.7211 0.7211 0.2073
Pr3 0.0690 0.4164 0.2082
Pr4 0.5836 0.9310 0.7918
Pr5 0.2789 0.2789 0.7927
Pr6 0.4164 0.0690 0.2082
Os1 0.3331 0.6669 0.0000
Os2 0.6669 0.3331 0.0000
S1 0.0000 0.0000 0.0000
Cl1 0.1649 0.8351 0.5000
Cl2 0.8351 0.1649 0.5000
Cl3 0.5000 0.5000 0.5000